# 1
CaTa (GGA-PBE, relaxed); energy relative to the elements = 835 meV/atom; energy above the lowest structure with this stoichiometry = 479 meV/atom; calculated volume = 23.18 A^3/atom; energy = -6.09 eV/atom; mass density = 7.92 g/cm³; space group = P4/mmm (123)
1.0
-1.857 0.750 -2.125
-2.219 -0.132 1.893
0.727 5.250 1.218
Ta Ca
1 1
Direct
0.500 0.500 0.500 Ta
0.000 0.000 0.000 Ca

# 2
Ba2Pa2P5 (GGA-PBE, relaxed); energy relative to the elements = -1041 meV/atom; calculated volume = 25.69 A^3/atom; energy = -6.58 eV/atom; mass density = 6.40 g/cm³; space group = Cmce (64)
1.0
-2.373 2.872 -6.723
6.395 -2.575 -3.357
-6.786 -5.496 0.047
P Ba Pa
10 4 4
Direct
0.500 0.500 0.000 P
0.642 0.031 0.776 P
0.358 0.969 0.224 P
0.142 0.245 0.776 P
0.858 0.755 0.224 P
0.358 0.745 0.776 P
0.000 0.000 0.000 P
0.642 0.255 0.224 P
0.142 0.469 0.224 P
0.858 0.531 0.776 P
0.000 0.202 0.404 Ba
0.500 0.298 0.596 Ba
0.500 0.702 0.404 Ba
0.000 0.798 0.596 Ba
0.840 0.340 0.000 Pa
0.660 0.840 0.000 Pa
0.160 0.660 0.000 Pa
0.340 0.160 0.000 Pa

# 3
GdZrFe (GGA-PBE, relaxed); energy relative to the elements = 61 meV/atom; calculated volume = 21.27 A^3/atom; energy = -10.30 eV/atom; mass density = 7.92 g/cm³; space group = I4mm (107)
1.0
3.324 0.000 0.000
0.000 3.324 0.000
-1.662 -1.662 5.776
Fe Zr Gd
1 1 1
Direct
0.685 0.685 0.371 Fe
0.295 0.295 0.590 Zr
0.019 0.019 0.039 Gd

# 4
LaBeFe2 (GGA-PBE, relaxed); energy relative to the elements = 597 meV/atom; calculated volume = 15.30 A^3/atom; energy = -5.80 eV/atom; mass density = 7.05 g/cm³; space group = C2/m (12)
1.0
4.745 -0.001 -0.004
-2.289 4.477 0.006
0.168 1.047 2.881
Fe La Be
2 1 1
Direct
0.500 0.000 0.500 Fe
0.000 0.000 0.000 Fe
0.000 0.500 0.500 La
0.500 0.500 0.000 Be

# 5
AcPmGd2 (GGA-PBE, relaxed); energy relative to the elements = 35 meV/atom; energy above the lowest structure with this stoichiometry = 0 meV/atom; calculated volume = 35.79 A^3/atom; energy = -9.22 eV/atom; mass density = 7.96 g/cm³; space group = P4/mmm (123)
1.0
-1.171 -2.956 -4.137
2.999 -3.850 1.903
-4.131 -1.951 2.563
Gd Pm Ac
2 1 1
Direct
0.000 0.500 0.000 Gd
0.000 0.000 0.500 Gd
0.500 0.500 0.500 Pm
0.500 0.000 0.000 Ac

# 6
Th2ScBi (GGA-PBE, relaxed); energy relative to the elements = -277 meV/atom; energy above the lowest structure with this stoichiometry = 0 meV/atom; calculated volume = 28.47 A^3/atom; energy = -6.54 eV/atom; mass density = 10.47 g/cm³; space group = P4/mmm (123)
1.0
5.113 0.000 0.000
0.000 4.719 0.000
0.000 0.000 4.719
Th Bi Sc
2 1 1
Direct
0.000 0.000 0.500 Th
0.000 0.500 0.000 Th
0.500 0.500 0.500 Bi
0.500 0.000 0.000 Sc

Which formula does entry 4 have? LaBeFe2

Copy entry 1 word for word.
CaTa (GGA-PBE, relaxed); energy relative to the elements = 835 meV/atom; energy above the lowest structure with this stoichiometry = 479 meV/atom; calculated volume = 23.18 A^3/atom; energy = -6.09 eV/atom; mass density = 7.92 g/cm³; space group = P4/mmm (123)
1.0
-1.857 0.750 -2.125
-2.219 -0.132 1.893
0.727 5.250 1.218
Ta Ca
1 1
Direct
0.500 0.500 0.500 Ta
0.000 0.000 0.000 Ca

Which of these has the highest energy? LaBeFe2